# CsIr3W

Crystalline CsIr3W at its relaxed geometry (GGA-PBEsol, Alexandria via LeMat-Bulk).

Computed properties:
total moment = 0.000 μB per atom
final energy = -36.5 eV per formula unit
N(E_F) = 3.62 states/eV/f.u.
E_form = 1547 meV per atom
ρ = 13060 kg/m³

Cell: 4.843 4.843 4.843 Å, 90.00 90.00 90.00°
Space group Pm-3m (No. 221)
Inequivalent atoms, fractional coordinates:
Cs 0.000 0.000 0.000 [1 per cell]
Ir 0.000 0.500 0.500 [3 per cell]
W 0.500 0.500 0.500 [1 per cell]